[1]
! PBE Pm6Y2Er3Mg, optimized geometry; values from VASP
&SYSTEM
  ibrav = 0, nat = 12, ntyp = 4
/
ATOMIC_SPECIES
Pm 145.00 Pm.upf
Y 88.91 Y.upf
Er 167.26 Er.upf
Mg 24.30 Mg.upf
CELL_PARAMETERS angstrom
3.099 -5.371 0.000
3.099 5.371 0.000
-2.073 0.000 11.567
ATOMIC_POSITIONS crystal
Pm 0.083 0.415 0.750
Pm 0.249 0.249 0.249
Pm 0.415 0.083 0.750
Pm 0.585 0.917 0.250
Pm 0.751 0.751 0.751
Pm 0.917 0.585 0.250
Y 0.333 0.667 0.500
Y 0.667 0.333 0.500
Er 0.166 0.834 0.000
Er 0.500 0.500 0.000
Er 0.834 0.166 0.000
Mg 0.000 0.000 0.500
! raw total energy	-4.706	eV/atom
! D(E_F)	1.11	states/eV/atom
! SG	No. 12
! crystal system	monoclinic
! DFT formation energy	0.02	eV per atom

[2]
! PBE IrW, optimized geometry; values from VASP
&SYSTEM
  ibrav = 0, nat = 8, ntyp = 2
/
ATOMIC_SPECIES
Ir 192.22 Ir.upf
W 183.84 W.upf
CELL_PARAMETERS angstrom
-5.743 5.743 1.357
5.743 -5.743 1.357
5.743 5.743 -1.357
ATOMIC_POSITIONS crystal
Ir 0.095 0.727 0.822
Ir 0.273 0.095 0.369
Ir 0.727 0.905 0.631
Ir 0.905 0.273 0.178
W 0.119 0.236 0.355
W 0.236 0.881 0.117
W 0.764 0.119 0.883
W 0.881 0.764 0.645
! raw total energy	-10.023	eV/atom
! D(E_F)	0.67	states/eV/atom
! SG	No. 87
! relative energy among the computed polymorphs	1185	meV per atom
! crystal system	tetragonal
! DFT formation energy	0.88	eV per atom

[3]
! PBE PmMnC, optimized geometry; values from VASP
&SYSTEM
  ibrav = 0, nat = 3, ntyp = 3
/
ATOMIC_SPECIES
Pm 145.00 Pm.upf
Mn 54.94 Mn.upf
C 12.01 C.upf
CELL_PARAMETERS angstrom
-1.420 1.420 5.104
1.420 -1.420 5.104
1.420 1.420 -5.104
ATOMIC_POSITIONS crystal
Pm 0.000 0.000 0.000
Mn 0.272 0.272 0.000
C 0.719 0.719 0.000
! raw total energy	-7.185	eV/atom
! D(E_F)	0.67	states/eV/atom
! SG	No. 107
! relative energy among the computed polymorphs	587	meV per atom
! crystal system	tetragonal
! DFT formation energy	0.53	eV per atom

[4]
! PBE NaCaTl2Rh, optimized geometry; values from VASP
&SYSTEM
  ibrav = 0, nat = 5, ntyp = 4
/
ATOMIC_SPECIES
Na 22.99 Na.upf
Ca 40.08 Ca.upf
Tl 204.38 Tl.upf
Rh 102.91 Rh.upf
CELL_PARAMETERS angstrom
5.345 0.000 0.000
0.000 5.345 0.000
0.000 0.000 5.313
ATOMIC_POSITIONS crystal
Na 0.000 0.000 0.000
Ca 0.500 0.500 0.000
Tl 0.000 0.500 0.500
Tl 0.500 0.000 0.500
Rh 0.500 0.500 0.500
! raw total energy	-3.244	eV/atom
! D(E_F)	0.51	states/eV/atom
! SG	No. 123
! crystal system	tetragonal
! DFT formation energy	-0.16	eV per atom

[5]
! PBE Zr6Ga5H, optimized geometry; values from VASP
&SYSTEM
  ibrav = 0, nat = 12, ntyp = 3
/
ATOMIC_SPECIES
Zr 91.22 Zr.upf
Ga 69.72 Ga.upf
H 1.01 H.upf
CELL_PARAMETERS angstrom
3.782 -6.862 0.000
3.782 6.862 0.000
-2.806 0.000 4.350
ATOMIC_POSITIONS crystal
Zr 0.076 0.402 0.756
Zr 0.213 0.213 0.334
Zr 0.402 0.076 0.756
Zr 0.598 0.924 0.244
Zr 0.787 0.787 0.666
Zr 0.924 0.598 0.244
Ga 0.166 0.834 0.000
Ga 0.340 0.660 0.500
Ga 0.500 0.500 0.000
Ga 0.660 0.340 0.500
Ga 0.834 0.166 0.000
H 0.000 0.000 0.500
! raw total energy	-6.127	eV/atom
! D(E_F)	0.64	states/eV/atom
! SG	No. 12
! crystal system	monoclinic

[6]
! PBE CaInGaS4, optimized geometry; values from VASP
&SYSTEM
  ibrav = 0, nat = 14, ntyp = 4
/
ATOMIC_SPECIES
Ca 40.08 Ca.upf
In 114.82 In.upf
Ga 69.72 Ga.upf
S 32.06 S.upf
CELL_PARAMETERS angstrom
-3.786 3.921 5.409
3.786 -3.921 5.409
3.786 3.921 -5.409
ATOMIC_POSITIONS crystal
Ca 0.500 0.000 0.000
Ca 0.500 0.500 0.500
In 0.000 0.000 0.000
In 0.500 0.000 0.500
Ga 0.111 0.361 0.750
Ga 0.889 0.639 0.250
S 0.242 0.246 0.996
S 0.244 0.240 0.496
S 0.244 0.748 0.004
S 0.251 0.754 0.496
S 0.749 0.246 0.504
S 0.756 0.252 0.996
S 0.756 0.760 0.504
S 0.758 0.754 0.004
! raw total energy	-4.429	eV/atom
! D(E_F)	0.05	states/eV/atom
! SG	No. 74
! crystal system	orthorhombic